No. 1
A plane-wave DFT calculation with PBE was carried out for HfZrTi after structural relaxation.

Cell: 4.8600 4.8600 3.0858 Å, 90.00 90.00 120.00°
Closest atoms and distances in Å follow each position.
Sites, in units of the cell vectors:
Hf (0.0000, 0.0000, 0.0000)  3 Ti 2.81, 2 Hf 3.09
Zr (0.6667, 0.3333, 0.5000)  2 Zr 3.09, 6 Hf 3.20, 6 Ti 3.20
Ti (0.3333, 0.6667, 0.0000)  3 Hf 2.81, 2 Ti 3.09

Output
D(E_F) ... 2.98 states/eV/f.u.
Raw total energy ... -26.2 eV for the cell shown
Formation energy from the elements ... 0.0639 eV/atom

---

No. 2
A plane-wave DFT calculation with PBE was carried out for HfZrTi2 after structural relaxation.

Cell: 3.5691 3.5691 6.2658 Å, 90.00 90.00 90.00°
Closest atoms and distances in Å follow each position.
Sites, in units of the cell vectors:
Hf (0.0000, 0.0000, 0.0000)  8 Ti 2.90, 2 Zr 3.13
Zr (0.0000, 0.0000, 0.5000)  8 Ti 3.04, 2 Hf 3.13
Ti (0.5000, 0.5000, 0.2291)  1 Ti 2.87, 4 Hf 2.90, 4 Zr 3.04
Ti (0.5000, 0.5000, 0.7709)  1 Ti 2.87, 4 Hf 2.90, 4 Zr 3.04

Output
D(E_F) ... 6.23 states/eV/f.u.
Raw total energy ... -33.9 eV for the cell shown
Formation energy from the elements ... 0.1029 eV/atom

---

No. 3
A plane-wave DFT calculation with PBE was carried out for HfZr2Ti after structural relaxation.

Cell: 7.6637 7.6637 5.9812 Å, 90.00 90.00 90.00°
Closest atoms and distances in Å follow each position.
Sites, in units of the cell vectors:
Hf (0.0000, 0.0000, 0.0000)  4 Zr 2.90, 2 Ti 2.99
Hf (0.0000, 0.5000, 0.2500)  4 Zr 2.90, 2 Ti 2.99
Hf (0.5000, 0.0000, 0.7500)  4 Zr 2.90, 2 Ti 2.99
Hf (0.5000, 0.5000, 0.5000)  4 Zr 2.90, 2 Ti 2.99
Zr (0.2334, 0.7500, 0.6250)  2 Ti 2.73, 2 Hf 2.90, 2 Zr 3.00
Zr (0.2500, 0.2334, 0.3750)  2 Ti 2.73, 2 Hf 2.90, 2 Zr 3.00
Zr (0.2500, 0.2666, 0.8750)  2 Ti 2.73, 2 Hf 2.90, 2 Zr 3.00
Zr (0.2666, 0.7500, 0.1250)  2 Ti 2.73, 2 Hf 2.90, 2 Zr 3.00
Zr (0.7334, 0.2500, 0.1250)  2 Ti 2.73, 2 Hf 2.90, 2 Zr 3.00
Zr (0.7500, 0.7334, 0.8750)  2 Ti 2.73, 2 Hf 2.90, 2 Zr 3.00
Zr (0.7500, 0.7666, 0.3750)  2 Ti 2.73, 2 Hf 2.90, 2 Zr 3.00
Zr (0.7666, 0.2500, 0.6250)  2 Ti 2.73, 2 Hf 2.90, 2 Zr 3.00
Ti (0.0000, 0.0000, 0.5000)  4 Zr 2.73, 2 Hf 2.99
Ti (0.0000, 0.5000, 0.7500)  4 Zr 2.73, 2 Hf 2.99
Ti (0.5000, 0.0000, 0.2500)  4 Zr 2.73, 2 Hf 2.99
Ti (0.5000, 0.5000, 0.0000)  4 Zr 2.73, 2 Hf 2.99

Output
D(E_F) ... 5.38 states/eV/f.u.
Raw total energy ... -131.5 eV for the cell shown
Formation energy from the elements ... 0.5160 eV/atom

---

No. 4
A plane-wave DFT calculation with PBE was carried out for Hf2Zr8Ti after structural relaxation.

Cell: 7.9603 7.9603 5.8041 Å, 101.09 101.09 44.38°
Closest atoms and distances in Å follow each position.
Sites, in units of the cell vectors:
Hf (0.2477, 0.2477, 0.3458)  7 Zr 2.97-3.08
Hf (0.7523, 0.7523, 0.6542)  7 Zr 2.97-3.08
Zr (0.1794, 0.6596, 0.6134)  1 Ti 2.79, 4 Zr 2.89-3.12, 2 Hf 2.97-3.05
Zr (0.1860, 0.1860, 0.8205)  2 Hf 3.00-3.08, 3 Zr 3.09-3.18, 1 Ti 3.13
Zr (0.3404, 0.8206, 0.3866)  1 Ti 2.79, 4 Zr 2.89-3.12, 2 Hf 2.97-3.05
Zr (0.3990, 0.3990, 0.0760)  1 Hf 2.98, 6 Zr 3.12-3.28
Zr (0.6010, 0.6010, 0.9240)  1 Hf 2.98, 6 Zr 3.12-3.28
Zr (0.6596, 0.1794, 0.6134)  1 Ti 2.79, 4 Zr 2.89-3.12, 2 Hf 2.97-3.05
Zr (0.8140, 0.8140, 0.1795)  2 Hf 3.00-3.08, 3 Zr 3.09-3.18, 1 Ti 3.13
Zr (0.8206, 0.3404, 0.3866)  1 Ti 2.79, 4 Zr 2.89-3.12, 2 Hf 2.97-3.05
Ti (0.0000, 0.0000, 0.0000)  4 Zr 2.79

Output
D(E_F) ... 11.58 states/eV/f.u.
Raw total energy ... -94.7 eV for the cell shown
Formation energy from the elements ... 0.1332 eV/atom

---

No. 5
A plane-wave DFT calculation with PBE was carried out for HfZr2Ti after structural relaxation.

Cell: 3.1631 3.1631 8.6158 Å, 90.00 90.00 90.00°
Closest atoms and distances in Å follow each position.
Sites, in units of the cell vectors:
Hf (0.0000, 0.0000, 0.0000)  4 Hf 3.16, 8 Zr 3.17
Zr (0.5000, 0.5000, 0.2602)  4 Ti 3.04, 4 Zr 3.16, 4 Hf 3.17
Zr (0.5000, 0.5000, 0.7398)  4 Ti 3.04, 4 Zr 3.16, 4 Hf 3.17
Ti (0.0000, 0.0000, 0.5000)  8 Zr 3.04, 4 Ti 3.16

Output
D(E_F) ... 7.44 states/eV/f.u.
Raw total energy ... -34.6 eV for the cell shown
Formation energy from the elements ... 0.0829 eV/atom

---

No. 6
A plane-wave DFT calculation with PBE was carried out for HfZr2Ti after structural relaxation.

Cell: 4.4167 4.4167 4.4112 Å, 90.00 90.00 90.00°
Closest atoms and distances in Å follow each position.
Sites, in units of the cell vectors:
Hf (0.0000, 0.0000, 0.0000)  8 Zr 3.12, 4 Ti 3.12
Zr (0.0000, 0.5000, 0.5000)  4 Hf 3.12, 4 Ti 3.12, 4 Zr 3.12
Zr (0.5000, 0.0000, 0.5000)  4 Hf 3.12, 4 Ti 3.12, 4 Zr 3.12
Ti (0.5000, 0.5000, 0.0000)  8 Zr 3.12, 4 Hf 3.12

Output
D(E_F) ... 6.41 states/eV/f.u.
Raw total energy ... -34.6 eV for the cell shown
Formation energy from the elements ... 0.0799 eV/atom

---

No. 7
A plane-wave DFT calculation with PBE was carried out for HfZr6Ti after structural relaxation.

Cell: 5.0872 6.3957 11.0791 Å, 90.00 90.00 90.00°
Closest atoms and distances in Å follow each position.
Sites, in units of the cell vectors:
Hf (0.0000, 0.0000, 0.0000)  10 Zr 3.14-3.21, 2 Ti 3.20
Hf (0.0000, 0.5000, 0.5000)  10 Zr 3.14-3.21, 2 Ti 3.20
Zr (0.0000, 0.2488, 0.7506)  8 Zr 3.14-3.21, 2 Hf 3.19-3.21, 2 Ti 3.20
Zr (0.0000, 0.2512, 0.2506)  8 Zr 3.14-3.21, 2 Hf 3.19-3.21, 2 Ti 3.20
Zr (0.0000, 0.7488, 0.2506)  8 Zr 3.14-3.21, 2 Hf 3.19-3.21, 2 Ti 3.20
Zr (0.0000, 0.7512, 0.7506)  8 Zr 3.14-3.21, 2 Hf 3.19-3.21, 2 Ti 3.20
Zr (0.5000, 0.0000, 0.3364)  2 Ti 3.13, 10 Zr 3.14-3.26
Zr (0.5000, 0.0000, 0.8342)  2 Hf 3.14, 10 Zr 3.14-3.21
Zr (0.5000, 0.2465, 0.5816)  2 Ti 3.12, 8 Zr 3.14-3.26, 2 Hf 3.15
Zr (0.5000, 0.2535, 0.0816)  2 Ti 3.12, 8 Zr 3.14-3.26, 2 Hf 3.15
Zr (0.5000, 0.5000, 0.3342)  2 Hf 3.14, 10 Zr 3.14-3.21
Zr (0.5000, 0.5000, 0.8364)  2 Ti 3.13, 10 Zr 3.14-3.26
Zr (0.5000, 0.7465, 0.0816)  2 Ti 3.12, 8 Zr 3.14-3.26, 2 Hf 3.15
Zr (0.5000, 0.7535, 0.5816)  2 Ti 3.12, 8 Zr 3.14-3.26, 2 Hf 3.15
Ti (0.0000, 0.0000, 0.5005)  10 Zr 3.12-3.20, 2 Hf 3.20
Ti (0.0000, 0.5000, 0.0005)  10 Zr 3.12-3.20, 2 Hf 3.20

Output
D(E_F) ... 6.03 states/eV/f.u.
Raw total energy ... -137.9 eV for the cell shown
Formation energy from the elements ... 0.0244 eV/atom

---

No. 8
A plane-wave DFT calculation with PBE was carried out for Hf3Zr12Ti5 after structural relaxation.

Cell: 14.0818 14.0818 14.0818 Å, 109.47 109.47 109.47°
Closest atoms and distances in Å follow each position.
Sites, in units of the cell vectors:
Hf (0.1250, 0.2500, 0.3750)  8 Zr 2.80-3.13
Hf (0.1250, 0.3750, 0.7500)  8 Zr 2.80-3.13
Hf (0.2500, 0.3750, 0.1250)  8 Zr 2.80-3.13
Hf (0.2500, 0.8750, 0.6250)  8 Zr 2.80-3.13
Hf (0.3750, 0.1250, 0.2500)  8 Zr 2.80-3.13
Hf (0.3750, 0.7500, 0.1250)  8 Zr 2.80-3.13
Hf (0.6250, 0.2500, 0.8750)  8 Zr 2.80-3.13
Hf (0.6250, 0.8750, 0.7500)  8 Zr 2.80-3.13
Hf (0.7500, 0.1250, 0.3750)  8 Zr 2.80-3.13
Hf (0.7500, 0.6250, 0.8750)  8 Zr 2.80-3.13
Hf (0.8750, 0.6250, 0.2500)  8 Zr 2.80-3.13
Hf (0.8750, 0.7500, 0.6250)  8 Zr 2.80-3.13
Zr (0.0640, 0.2244, 0.1294)  2 Ti 2.70-2.79, 1 Hf 2.80
Zr (0.0640, 0.3396, 0.9346)  2 Ti 2.70-2.79, 1 Hf 2.80
Zr (0.0654, 0.6294, 0.4050)  2 Ti 2.70-2.79, 1 Hf 2.80
Zr (0.0654, 0.9360, 0.6604)  2 Ti 2.70-2.79, 1 Hf 2.80
Zr (0.0950, 0.7244, 0.6604)  2 Ti 2.70-2.79, 1 Hf 2.80
Zr (0.0950, 0.8706, 0.4346)  2 Ti 2.70-2.79, 1 Hf 2.80
Zr (0.1294, 0.0640, 0.2244)  2 Ti 2.70-2.79, 1 Hf 2.80
Zr (0.1294, 0.5654, 0.9050)  2 Ti 2.70-2.79, 1 Hf 2.80
Zr (0.1604, 0.2244, 0.5950)  2 Ti 2.70-2.79, 1 Hf 2.80
Zr (0.1604, 0.4360, 0.5654)  2 Ti 2.70-2.79, 1 Hf 2.80
Zr (0.2244, 0.1294, 0.0640)  2 Ti 2.70-2.79, 1 Hf 2.80
Zr (0.2244, 0.5950, 0.1604)  2 Ti 2.70-2.79, 1 Hf 2.80
Zr (0.2756, 0.3396, 0.9050)  2 Ti 2.70-2.79, 1 Hf 2.80
Zr (0.2756, 0.4360, 0.3706)  2 Ti 2.70-2.79, 1 Hf 2.80
Zr (0.3396, 0.9050, 0.2756)  2 Ti 2.70-2.79, 1 Hf 2.80
Zr (0.3396, 0.9346, 0.0640)  2 Ti 2.70-2.79, 1 Hf 2.80
Zr (0.3706, 0.2756, 0.4360)  2 Ti 2.70-2.79, 1 Hf 2.80
Zr (0.3706, 0.5950, 0.9346)  2 Ti 2.70-2.79, 1 Hf 2.80
Zr (0.4050, 0.0654, 0.6294)  2 Ti 2.70-2.79, 1 Hf 2.80
Zr (0.4050, 0.8396, 0.7756)  2 Ti 2.70-2.79, 1 Hf 2.80
Zr (0.4346, 0.0950, 0.8706)  2 Ti 2.70-2.79, 1 Hf 2.80
Zr (0.4346, 0.8396, 0.5640)  2 Ti 2.70-2.79, 1 Hf 2.80
Zr (0.4360, 0.3706, 0.2756)  2 Ti 2.70-2.79, 1 Hf 2.80
Zr (0.4360, 0.5654, 0.1604)  2 Ti 2.70-2.79, 1 Hf 2.80
Zr (0.5640, 0.4346, 0.8396)  2 Ti 2.70-2.79, 1 Hf 2.80
Zr (0.5640, 0.6294, 0.7244)  2 Ti 2.70-2.79, 1 Hf 2.80
Zr (0.5654, 0.1604, 0.4360)  2 Ti 2.70-2.79, 1 Hf 2.80
Zr (0.5654, 0.9050, 0.1294)  2 Ti 2.70-2.79, 1 Hf 2.80
Zr (0.5950, 0.1604, 0.2244)  2 Ti 2.70-2.79, 1 Hf 2.80
Zr (0.5950, 0.9346, 0.3706)  2 Ti 2.70-2.79, 1 Hf 2.80
Zr (0.6294, 0.4050, 0.0654)  2 Ti 2.70-2.79, 1 Hf 2.80
Zr (0.6294, 0.7244, 0.5640)  2 Ti 2.70-2.79, 1 Hf 2.80
Zr (0.6604, 0.0654, 0.9360)  2 Ti 2.70-2.79, 1 Hf 2.80
Zr (0.6604, 0.0950, 0.7244)  2 Ti 2.70-2.79, 1 Hf 2.80
Zr (0.7244, 0.5640, 0.6294)  2 Ti 2.70-2.79, 1 Hf 2.80
Zr (0.7244, 0.6604, 0.0950)  2 Ti 2.70-2.79, 1 Hf 2.80
Zr (0.7756, 0.4050, 0.8396)  2 Ti 2.70-2.79, 1 Hf 2.80
Zr (0.7756, 0.8706, 0.9360)  2 Ti 2.70-2.79, 1 Hf 2.80
Zr (0.8396, 0.5640, 0.4346)  2 Ti 2.70-2.79, 1 Hf 2.80
Zr (0.8396, 0.7756, 0.4050)  2 Ti 2.70-2.79, 1 Hf 2.80
Zr (0.8706, 0.4346, 0.0950)  2 Ti 2.70-2.79, 1 Hf 2.80
Zr (0.8706, 0.9360, 0.7756)  2 Ti 2.70-2.79, 1 Hf 2.80
Zr (0.9050, 0.1294, 0.5654)  2 Ti 2.70-2.79, 1 Hf 2.80
Zr (0.9050, 0.2756, 0.3396)  2 Ti 2.70-2.79, 1 Hf 2.80
Zr (0.9346, 0.0640, 0.3396)  2 Ti 2.70-2.79, 1 Hf 2.80
Zr (0.9346, 0.3706, 0.5950)  2 Ti 2.70-2.79, 1 Hf 2.80
Zr (0.9360, 0.6604, 0.0654)  2 Ti 2.70-2.79, 1 Hf 2.80
Zr (0.9360, 0.7756, 0.8706)  2 Ti 2.70-2.79, 1 Hf 2.80
Ti (0.0000, 0.0000, 0.0000)  6 Zr 2.70
Ti (0.0000, 0.0000, 0.5000)  6 Zr 2.70
Ti (0.0000, 0.5000, 0.0000)  6 Zr 2.70
Ti (0.0000, 0.5000, 0.5000)  6 Zr 2.70
Ti (0.1250, 0.7500, 0.8750)  4 Zr 2.79
Ti (0.1250, 0.8750, 0.2500)  4 Zr 2.79
Ti (0.2500, 0.1250, 0.8750)  4 Zr 2.79
Ti (0.2500, 0.6250, 0.3750)  4 Zr 2.79
Ti (0.3750, 0.2500, 0.6250)  4 Zr 2.79
Ti (0.3750, 0.6250, 0.7500)  4 Zr 2.79
Ti (0.5000, 0.0000, 0.0000)  6 Zr 2.70
Ti (0.5000, 0.0000, 0.5000)  6 Zr 2.70
Ti (0.5000, 0.5000, 0.0000)  6 Zr 2.70
Ti (0.5000, 0.5000, 0.5000)  6 Zr 2.70
Ti (0.6250, 0.3750, 0.2500)  4 Zr 2.79
Ti (0.6250, 0.7500, 0.3750)  4 Zr 2.79
Ti (0.7500, 0.3750, 0.6250)  4 Zr 2.79
Ti (0.7500, 0.8750, 0.1250)  4 Zr 2.79
Ti (0.8750, 0.1250, 0.7500)  4 Zr 2.79
Ti (0.8750, 0.2500, 0.1250)  4 Zr 2.79

Output
D(E_F) ... 32.26 states/eV/f.u.
Raw total energy ... -587.5 eV for the cell shown
Formation energy from the elements ... 1.2514 eV/atom